[1]
Computed, not measured: MgHgSb2 at its PBEsol-relaxed geometry at the meta-GGA SCAN level of DFT.

Summary:
Crystal system: monoclinic
Symmetry: P2/m
Uncorrected formation energy, eV per atom: -0.0623
Density, g cm⁻³: 7.7
Energy relative to the lowest polymorph listed for this composition, meV per atom: 0
Volume, Å³ per cell: 102

Unit cell a=3.1060 b=4.0765 c=8.4310 alpha=90.00 beta=108.04 gamma=90.00
With the nearest neighbours (Å) after each atom.
Fractional positions:
Hg (0.5000, 0.5000, 0.0000)  4 Sb 3.04, 2 Hg 3.11
Mg (0.5000, 0.5000, 0.5000)  2 Mg 3.11, 8 Sb 3.11-3.12
Sb (0.1878, 0.0000, 0.7208)  2 Hg 3.04, 2 Sb 3.11, 4 Mg 3.11-3.12
Sb (0.8122, 0.0000, 0.2792)  2 Hg 3.04, 2 Sb 3.11, 4 Mg 3.11-3.12

[2]
Computed, not measured: Li5Ti7InP12O48 at its PBEsol-relaxed geometry at the meta-GGA SCAN level of DFT.

Summary:
Crystal system: triclinic
Symmetry: P1
Uncorrected formation energy, eV per atom: -2.7589
Density, g cm⁻³: 3.0
Volume, Å³ per cell: 889

Unit cell a=8.5269 b=8.5312 c=14.8654 alpha=90.32 beta=106.58 gamma=119.39
With the nearest neighbours (Å) after each atom.
Fractional positions:
Li (0.0221, 0.0267, 0.0095)  5 O 2.09-2.30
Li (0.0106, 0.5147, 0.4966)  5 O 2.14-2.27
Li (0.5203, 0.7606, 0.2599)  4 O 2.09-2.26
Li (0.4688, 0.2391, 0.7268)  4 O 2.10-2.28
Li (0.7463, 0.5786, 0.9263)  6 O 2.12-2.30
Ti (0.8582, 0.2128, 0.0742)  6 O 1.89-2.00
Ti (0.6453, 0.5399, 0.1870)  6 O 1.87-1.99
Ti (0.8589, 0.7057, 0.5691)  6 O 1.90-1.99
Ti (0.6353, 0.0315, 0.6725)  6 O 1.88-1.99
Ti (0.3592, 0.9616, 0.3172)  6 O 1.89-2.01
Ti (0.1457, 0.2902, 0.4324)  6 O 1.89-1.98
Ti (0.3506, 0.4632, 0.8226)  6 O 1.86-2.03
In (0.1398, 0.7877, 0.9267)  6 O 2.04-2.20
P (0.2527, 0.2757, 0.2323)  4 O 1.53-1.54
P (0.9659, 0.8376, 0.3772)  4 O 1.53-1.54
P (0.5548, 0.7706, 0.0231)  4 O 1.51-1.56
P (0.4604, 0.7301, 0.4746)  4 O 1.53-1.55
P (0.0349, 0.6643, 0.1263)  4 O 1.53-1.54
P (0.2464, 0.7716, 0.7241)  4 O 1.51-1.56
P (0.7533, 0.2325, 0.2758)  4 O 1.53-1.54
P (0.9433, 0.3276, 0.8762)  4 O 1.53-1.56
P (0.5453, 0.2710, 0.5166)  4 O 1.54
P (0.4588, 0.2327, 0.9862)  4 O 1.53-1.55
P (0.0431, 0.1601, 0.6280)  4 O 1.53-1.55
P (0.7346, 0.7155, 0.7619)  4 O 1.53-1.56
O (0.8149, 0.2024, 0.1924)  1 P 1.54
O (0.6189, 0.1874, 0.0051)  1 P 1.55
O (0.9995, 0.4735, 0.0964)  1 P 1.54
O (0.6896, 0.3725, 0.2594)  1 P 1.53
O (0.5132, 0.3752, 0.0707)  1 P 1.54
O (0.0895, 0.1979, 0.1362)  1 P 1.54
O (0.8823, 0.6423, 0.1687)  1 P 1.53
O (0.4179, 0.4604, 0.2265)  1 P 1.54
O (0.9542, 0.7283, 0.4596)  1 P 1.54
O (0.8004, 0.6689, 0.6846)  1 P 1.54
O (0.7704, 0.7410, 0.2977)  1 P 1.54
O (0.6293, 0.6969, 0.4996)  1 P 1.55
O (0.5777, 0.7026, 0.1194)  1 P 1.54
O (0.2725, 0.5577, 0.4717)  1 P 1.54
O (0.0040, 0.9665, 0.6010)  1 P 1.54
O (0.6640, 0.8458, 0.7284)  1 P 1.53
O (0.7434, 0.9505, 0.0346)  1 P 1.55
O (0.4384, 0.7895, 0.3762)  1 P 1.54
O (0.5014, 0.8789, 0.5508)  1 P 1.53
O (0.2353, 0.7779, 0.2004)  1 P 1.54
O (0.0806, 0.6745, 0.6289)  1 P 1.54
O (0.8748, 0.1484, 0.6513)  1 P 1.53
O (0.0102, 0.7568, 0.0386)  1 P 1.54
O (0.4070, 0.9471, 0.7065)  1 P 1.54
O (0.5897, 0.0448, 0.2802)  1 P 1.54
O (0.9424, 0.2242, 0.9607)  1 P 1.54
O (0.1264, 0.8494, 0.3443)  1 P 1.54
O (0.9179, 0.3076, 0.3717)  1 P 1.54
O (0.7649, 0.2042, 0.7908)  1 P 1.53
O (0.4986, 0.1261, 0.4357)  1 P 1.54
O (0.5641, 0.2073, 0.6140)  1 P 1.54
O (0.2635, 0.0700, 0.9790)  1 P 1.53
O (0.3127, 0.1324, 0.2524)  1 P 1.54
O (0.0113, 0.0312, 0.4085)  1 P 1.53
O (0.7346, 0.4427, 0.5215)  1 P 1.54
O (0.4551, 0.3141, 0.8934)  1 P 1.55
O (0.3834, 0.3120, 0.4966)  1 P 1.54
O (0.2276, 0.2568, 0.7159)  1 P 1.55
O (0.1888, 0.3089, 0.3135)  1 P 1.53
O (0.0747, 0.2734, 0.5480)  1 P 1.54
O (0.5743, 0.5321, 0.7758)  1 P 1.56
O (0.1301, 0.3760, 0.8549)  1 P 1.56
O (0.8877, 0.8034, 0.8605)  1 P 1.53
O (0.5321, 0.6378, 0.9415)  1 P 1.56
O (0.3126, 0.6340, 0.7566)  1 P 1.56
O (0.9390, 0.5010, 0.8967)  1 P 1.53
O (0.3843, 0.7934, 0.0022)  1 P 1.51
O (0.1901, 0.8313, 0.7992)  1 P 1.51

[3]
Computed, not measured: Mg5Cr at its PBEsol-relaxed geometry at the meta-GGA SCAN level of DFT.

Summary:
Crystal system: cubic
Symmetry: F-43m
Energy of formation from the pure elements, eV/f.u.: 1.07
Density, g cm⁻³: 2.2
Volume, Å³ per cell: 130

Unit cell a=5.6822 b=5.6822 c=5.6822 alpha=60.00 beta=60.00 gamma=60.00
With the nearest neighbours (Å) after each atom.
Fractional positions:
Cr (0.0000, 0.0000, 0.0000)  16 Mg 3.33-3.48
Mg (0.2500, 0.2500, 0.2500)  12 Mg 3.33, 4 Cr 3.48
Mg (0.6255, 0.1236, 0.6255)  6 Mg 2.83-2.85
Mg (0.6255, 0.6255, 0.1236)  6 Mg 2.83-2.85
Mg (0.6255, 0.6255, 0.6255)  6 Mg 2.83-2.85
Mg (0.1236, 0.6255, 0.6255)  6 Mg 2.83-2.85

[4]
Computed, not measured: BaRe2Si at its PBEsol-relaxed geometry at the meta-GGA SCAN level of DFT.

Summary:
Crystal system: monoclinic
Symmetry: P2/m
Uncorrected formation energy, eV per atom: 0.6715
Density, g cm⁻³: 9.4
Volume, Å³ per cell: 95

Unit cell a=4.0312 b=4.3845 c=5.4406 alpha=90.00 beta=97.71 gamma=90.00
With the nearest neighbours (Å) after each atom.
Fractional positions:
Ba (0.0000, 0.5000, 0.5000)  2 Si 3.16, 4 Re 3.31
Re (0.7257, 0.0000, 0.8828)  2 Re 2.36-2.40, 2 Si 2.49
Re (0.2743, 0.0000, 0.1172)  2 Re 2.36-2.40, 2 Si 2.49
Si (0.5000, 0.5000, 0.0000)  4 Re 2.49

[5]
Computed, not measured: Na2SiC at its PBEsol-relaxed geometry at the meta-GGA SCAN level of DFT.

Summary:
Crystal system: tetragonal
Symmetry: I-42d
Uncorrected formation energy, eV per atom: 0.5571
Density, g cm⁻³: 1.5
Energy relative to the lowest polymorph listed for this composition, meV per atom: 0
Volume, Å³ per cell: 192

Unit cell a=3.6006 b=7.5166 c=7.5166 alpha=86.71 beta=76.14 gamma=76.14
With the nearest neighbours (Å) after each atom.
Fractional positions:
Na (0.3659, 0.7591, 0.2591)  2 C 2.62, 2 Si 2.91
Na (0.3841, 0.2409, 0.7409)  2 C 2.62, 2 Si 2.91
Na (0.3750, 0.2591, 0.2409)  2 C 2.62, 2 Si 2.91
Na (0.8750, 0.7409, 0.7591)  2 C 2.62, 2 Si 2.91
Si (0.7500, 0.5000, 0.5000)  2 C 1.80
Si (0.0000, 0.0000, 0.0000)  2 C 1.80
C (0.2500, 0.5000, 0.5000)  2 Si 1.80
C (0.5000, 0.0000, 0.0000)  2 Si 1.80

[6]
Computed, not measured: Fe2AsRu at its PBEsol-relaxed geometry at the meta-GGA SCAN level of DFT.

Summary:
Crystal system: orthorhombic
Symmetry: Pmmm
Energy of formation from the pure elements, eV/f.u.: 0.30
Density, g cm⁻³: 9.6
Volume, Å³ per cell: 50

Unit cell a=2.7214 b=3.7473 c=4.8930 alpha=90.00 beta=90.00 gamma=90.00
With the nearest neighbours (Å) after each atom.
Fractional positions:
As (0.5000, 0.5000, 0.5000)  2 Ru 2.45, 8 Fe 2.63, 2 As 2.72
Fe (0.0000, 0.0000, 0.7547)  2 Fe 2.40-2.49, 4 Ru 2.61, 4 As 2.63
Fe (0.0000, 0.0000, 0.2453)  2 Fe 2.40-2.49, 4 Ru 2.61, 4 As 2.63
Ru (0.5000, 0.5000, 0.0000)  2 As 2.45, 8 Fe 2.61, 2 Ru 2.72

Which of these has the highest density?
Fe2AsRu